Record 1
# CaLaBi2 PBE optimized geometry
data_CaLaBi2
_chemical_formula_sum 'Ca3 La3 Bi6'
_cell_length_a 4.8656
_cell_length_b 4.8656
_cell_length_c 20.8999
_cell_angle_alpha 90.00
_cell_angle_beta 90.00
_cell_angle_gamma 120.00
_symmetry_space_group_name_H-M 'R -3 m'
_symmetry_Int_Tables_number 166
_symmetry_space_group_name_Hall '-R 3 2"'
loop_
_atom_site_label
_atom_site_type_symbol
_atom_site_fract_x
_atom_site_fract_y
_atom_site_fract_z
Ca1 Ca 0.0000 0.0000 0.0000
La1 La 0.0000 0.0000 0.5000
Bi1 Bi 0.0000 0.0000 0.2505
# Energy relative to the elements = -0.809 eV/atom
# ΔE to the lowest computed polymorph = 0 meV per atom

---

Record 2
# Sb2AuIBr PBE optimized geometry
data_Sb2AuIBr
_chemical_formula_sum 'Sb2 Au1 I1 Br1'
_cell_length_a 5.6325
_cell_length_b 5.6325
_cell_length_c 5.6515
_cell_angle_alpha 90.00
_cell_angle_beta 90.00
_cell_angle_gamma 90.00
_symmetry_space_group_name_H-M 'P 4/m m m'
_symmetry_Int_Tables_number 123
_symmetry_space_group_name_Hall '-P 4 2'
loop_
_atom_site_label
_atom_site_type_symbol
_atom_site_fract_x
_atom_site_fract_y
_atom_site_fract_z
Sb1 Sb 0.0000 0.5000 0.0000
Au1 Au 0.0000 0.0000 0.5000
I1 I 0.5000 0.5000 0.5000
Br1 Br 0.5000 0.5000 0.0000
# ΔE to the lowest computed polymorph = 639 meV per atom
# Formation energy from raw total energies = 24.7 kcal/mol of atoms

---

What did the first record say?
# CaLaBi2 PBE optimized geometry
data_CaLaBi2
_chemical_formula_sum 'Ca3 La3 Bi6'
_cell_length_a 4.8656
_cell_length_b 4.8656
_cell_length_c 20.8999
_cell_angle_alpha 90.00
_cell_angle_beta 90.00
_cell_angle_gamma 120.00
_symmetry_space_group_name_H-M 'R -3 m'
_symmetry_Int_Tables_number 166
_symmetry_space_group_name_Hall '-R 3 2"'
loop_
_atom_site_label
_atom_site_type_symbol
_atom_site_fract_x
_atom_site_fract_y
_atom_site_fract_z
Ca1 Ca 0.0000 0.0000 0.0000
La1 La 0.0000 0.0000 0.5000
Bi1 Bi 0.0000 0.0000 0.2505
# Energy relative to the elements = -0.809 eV/atom
# ΔE to the lowest computed polymorph = 0 meV per atom

---

Among the records above, which one has the lowest ΔE to the lowest computed polymorph?
CaLaBi2